The following is a PBE-GGA calculation of a relaxed Pm9NdSn2 crystal, from Alexandria via LeMat-Bulk.

Results
DOS(E_F) ... 12.42 states/eV/cell
E ... -4.904 eV per atom

Cell lengths 4.959, 4.959, 15.333 Å; angles 90.00, 90.00, 90.00 degrees
Space group P4/mmm (No. 123)
Asymmetric unit:
Pm: 0.000 0.000 0.000
Pm: 0.000 0.000 0.341
Pm: 0.000 0.500 0.178
Pm: 0.000 0.500 0.500
Nd: 0.500 0.500 0.000
Sn: 0.500 0.500 0.338



The following is a PBE-GGA calculation of a relaxed PmNd2Sn crystal, from Alexandria via LeMat-Bulk.

Results
DOS(E_F) ... 20.60 states/eV/cell
E ... -4.595 eV per atom
Offset from the most stable computed form ... 429 meV/atom

Cell lengths 3.5316, 3.5316, 36.4049 Å; angles 90.00, 90.00, 120.00 degrees
Space group R-3m (No. 166, hexagonal axes)
Asymmetric unit:
Pm: 0.0000 0.0000 0.0000
Nd: 0.0000 0.0000 0.0942
Sn: 0.0000 0.0000 0.5000



The following is a PBE-GGA calculation of a relaxed Pm2Nd5Sn5 crystal, from Alexandria via LeMat-Bulk.

Results
DOS(E_F) ... 15.48 states/eV/cell
E ... -4.993 eV per atom

Cell lengths 14.978, 4.476, 13.070 Å; angles 90.00, 108.55, 90.00 degrees
Space group C2/m (No. 12)
Asymmetric unit:
Pm: 0.049 0.000 0.285
Nd: 0.000 0.500 0.000
Nd: 0.159 0.500 0.542
Nd: 0.230 0.500 0.847
Sn: 0.000 0.000 0.500
Sn: 0.117 0.000 0.928
Sn: 0.199 0.500 0.297



The following is a PBE-GGA calculation of a relaxed Pm5Nd12Sn2 crystal, from Alexandria via LeMat-Bulk.

Results
DOS(E_F) ... 47.40 states/eV/cell
E ... -4.780 eV per atom

Cell lengths 15.599, 9.654, 8.676 Å; angles 90.00, 93.44, 90.00 degrees
Space group C2/m (No. 12)
Asymmetric unit:
Pm: 0.000 0.000 0.000
Pm: 0.179 0.500 0.501
Pm: 0.235 0.000 0.089
Nd: 0.052 0.500 0.808
Nd: 0.079 0.000 0.383
Nd: 0.122 0.305 0.157
Nd: 0.149 0.183 0.733
Sn: 0.000 0.305 0.500



The following is a PBE-GGA calculation of a relaxed Pm6Nd12Sn crystal, from Alexandria via LeMat-Bulk.

Results
DOS(E_F) ... 85.58 states/eV/cell
E ... -4.701 eV per atom

Cell lengths 12.1545, 12.1545, 15.4690 Å; angles 90.00, 90.00, 120.00 degrees
Space group R-3 (No. 148, hexagonal axes)
Asymmetric unit:
Pm: 0.0191 0.5896 0.1852
Nd: 0.0019 0.8288 0.3139
Nd: 0.0458 0.1984 0.9162
Sn: 0.0000 0.0000 0.5000



The following is a PBE-GGA calculation of a relaxed Pm4NdSn5 crystal, from Alexandria via LeMat-Bulk.

Results
DOS(E_F) ... 8.25 states/eV/cell
E ... -5.057 eV per atom

Cell lengths 3.527, 3.527, 22.671 Å; angles 90.00, 90.00, 90.00 degrees
Space group P4/mmm (No. 123)
Asymmetric unit:
Pm: 0.000 0.000 0.100
Pm: 0.000 0.000 0.300
Nd: 0.000 0.000 0.500
Sn: 0.500 0.500 0.000
Sn: 0.500 0.500 0.200
Sn: 0.500 0.500 0.399



The following is a PBE-GGA calculation of a relaxed PmNdSn2 crystal, from Alexandria via LeMat-Bulk.

Results
DOS(E_F) ... 6.44 states/eV/cell
E ... -5.167 eV per atom

Cell lengths 4.388, 4.653, 11.724 Å; angles 90.00, 90.00, 90.00 degrees
Space group Amm2 (No. 38)
Asymmetric unit:
Pm: 0.000 0.000 0.000
Nd: 0.500 0.000 0.271
Sn: 0.000 0.000 0.725
Sn: 0.500 0.000 0.546



The following is a PBE-GGA calculation of a relaxed Pm6NdSn crystal, from Alexandria via LeMat-Bulk.

Results
DOS(E_F) ... 8.86 states/eV/cell
E ... -4.853 eV per atom

Cell lengths 4.986, 4.986, 10.369 Å; angles 90.00, 90.00, 90.00 degrees
Space group P4/mmm (No. 123)
Asymmetric unit:
Pm: 0.000 0.000 0.000
Pm: 0.000 0.000 0.500
Pm: 0.000 0.500 0.239
Nd: 0.500 0.500 0.500
Sn: 0.500 0.500 0.000



The following is a PBE-GGA calculation of a relaxed Pm4Nd5Sn2 crystal, from Alexandria via LeMat-Bulk.

Results
DOS(E_F) ... 49.01 states/eV/cell
E ... -4.540 eV per atom

Cell lengths 5.3500, 5.3500, 47.2650 Å; angles 90.00, 90.00, 120.00 degrees
Space group R-3m (No. 166, hexagonal axes)
Asymmetric unit:
Pm: 0.0000 0.0000 0.0726
Pm: 0.0000 0.0000 0.2265
Nd: 0.0000 0.0000 0.0000
Nd: 0.0000 0.0000 0.1476
Nd: 0.0000 0.0000 0.3044
Sn: 0.0000 0.0000 0.3802



The following is a PBE-GGA calculation of a relaxed PmNdSn6 crystal, from Alexandria via LeMat-Bulk.

Results
DOS(E_F) ... 5.88 states/eV/cell
E ... -4.684 eV per atom

Cell lengths 4.759, 4.759, 9.578 Å; angles 90.00, 90.00, 90.00 degrees
Space group P4/mmm (No. 123)
Asymmetric unit:
Pm: 0.000 0.000 0.000
Nd: 0.000 0.000 0.500
Sn: 0.000 0.500 0.249
Sn: 0.500 0.500 0.000
Sn: 0.500 0.500 0.500



The following is a PBE-GGA calculation of a relaxed Pm12NdSn7 crystal, from Alexandria via LeMat-Bulk.

Results
DOS(E_F) ... 69.20 states/eV/cell
E ... -4.939 eV per atom

Cell lengths 15.7108, 15.7108, 8.9085 Å; angles 90.00, 90.00, 120.00 degrees
Space group R-3m (No. 166, hexagonal axes)
Asymmetric unit:
Pm: 0.0000 0.2734 0.0000
Pm: 0.1102 0.2204 0.3821
Nd: 0.0000 0.0000 0.0000
Sn: 0.0000 0.0000 0.5000
Sn: 0.1042 0.2085 0.7583



The following is a PBE-GGA calculation of a relaxed PmNdSn2 crystal, from Alexandria via LeMat-Bulk.

Results
DOS(E_F) ... 14.06 states/eV/cell
E ... -4.508 eV per atom

Cell lengths 3.4997, 3.4997, 35.6260 Å; angles 90.00, 90.00, 120.00 degrees
Space group R-3m (No. 166, hexagonal axes)
Asymmetric unit:
Pm: 0.0000 0.0000 0.0000
Nd: 0.0000 0.0000 0.5000
Sn: 0.0000 0.0000 0.4103



no.,mass density (Mg/m³),energy relative to the elements (kcal/mol of atoms)
1,7.43,-6.384
2,7.00,-0.513
3,6.42,-12.607
4,6.86,-2.249
5,6.85,0.498
6,7.76,-15.654
7,7.31,-18.120
8,7.30,-4.459
9,6.54,1.895
10,7.67,-11.348
11,7.10,-10.364
12,6.94,-2.937